Compound: CuSnIrRu
Source: Alexandria via LeMat-Bulk
Functional: PBE
Structure: optimized geometry

* theoretical density: 13.01 g/cm3
* DFT total energy: -6.524 eV/atom
* calculated formation energy: 35 meV/atom

Unit cell a=4.4115 b=4.4115 c=4.4115 alpha=60.00 beta=60.00 gamma=60.00
Sites, in units of the cell vectors:
1 Ru 0.7500 0.7500 0.7500
2 Ir 0.2500 0.2500 0.2500
3 Sn 0.5000 0.5000 0.5000
4 Cu 0.0000 0.0000 0.0000

***

Compound: TiCuIrRu
Source: Alexandria via LeMat-Bulk
Functional: PBE
Structure: optimized geometry

* theoretical density: 11.99 g/cm3
* DFT total energy: -7.831 eV/atom
* calculated formation energy: -299 meV/atom

Unit cell a=4.2951 b=4.2951 c=4.2951 alpha=60.00 beta=60.00 gamma=60.00
Sites, in units of the cell vectors:
1 Ru 0.5000 0.5000 0.5000
2 Ir 0.0000 0.0000 0.0000
3 Cu 0.7500 0.7500 0.7500
4 Ti 0.2500 0.2500 0.2500

***

Compound: Tm4Cu2IrRu
Source: Alexandria via LeMat-Bulk
Functional: PBE
Structure: optimized geometry

* theoretical density: 11.66 g/cm3
* DFT total energy: -6.058 eV/atom
* calculated formation energy: -532 meV/atom

Unit cell a=4.7976 b=4.7976 c=8.3066 alpha=73.21 beta=73.21 gamma=60.00
Sites, in units of the cell vectors:
1 Tm 0.3751 0.3751 0.8746
2 Tm 0.8749 0.8749 0.3753
3 Tm 0.1251 0.1251 0.6247
4 Tm 0.6249 0.6249 0.1254
5 Cu 0.7519 0.7519 0.7443
6 Cu 0.2481 0.2481 0.2557
7 Ir 0.0000 0.0000 0.0000
8 Ru 0.5000 0.5000 0.5000

***

Compound: V2CuIrRu
Source: Alexandria via LeMat-Bulk
Functional: PBE
Structure: optimized geometry

* theoretical density: 7.57 g/cm3
* DFT total energy: -6.764 eV/atom
* calculated formation energy: 1330 meV/atom

Unit cell a=4.6179 b=4.7170 c=4.6179 alpha=90.00 beta=90.00 gamma=90.00
Last column: magnetic moment on the atom in μB.
Sites, in units of the cell vectors:
1 Ru 0.0000 0.5000 0.0000  -0.14
2 Ir 0.0000 0.0000 0.0000  -0.14
3 Cu 0.5000 0.5000 0.5000  0.04
4 V 0.0000 0.0000 0.5000  1.21
5 V 0.5000 0.0000 0.0000  1.95

***

Compound: VCuIrRu
Source: Alexandria via LeMat-Bulk
Functional: PBE
Structure: optimized geometry

* theoretical density: 12.62 g/cm3
* DFT total energy: -7.991 eV/atom
* calculated formation energy: -153 meV/atom

Unit cell a=4.2341 b=4.2341 c=4.2341 alpha=60.00 beta=60.00 gamma=60.00
Sites, in units of the cell vectors:
1 Ru 0.7500 0.7500 0.7500
2 Ir 0.2500 0.2500 0.2500
3 Cu 0.0000 0.0000 0.0000
4 V 0.5000 0.5000 0.5000

***

Compound: YCu2IrRu
Source: Alexandria via LeMat-Bulk
Functional: PBE
Structure: optimized geometry

* theoretical density: 8.40 g/cm3
* DFT total energy: -6.076 eV/atom
* calculated formation energy: 483 meV/atom

Unit cell a=4.6190 b=4.7208 c=4.6190 alpha=90.00 beta=90.00 gamma=90.00
Sites, in units of the cell vectors:
1 Y 0.5000 0.5000 0.5000
2 Ru 0.0000 0.0000 0.0000
3 Ir 0.0000 0.5000 0.0000
4 Cu 0.0000 0.0000 0.5000
5 Cu 0.5000 0.0000 0.0000